A plane-wave DFT calculation with PBE was carried out for an optimized crystal structure of TlIn2Sb.

a b c (Å): 4.978 4.978 9.343
angles (deg): 90.00 90.00 90.00
Space group I4/mmm (No. 139)
Inequivalent atoms, fractional coordinates:
Tl1 0.000 0.000 0.000 [2 per cell]
In1 0.000 0.500 0.250 [4 per cell]
Sb1 0.000 0.000 0.500 [2 per cell]

Summary:
Magnetic moment in μB per formula unit: 0.0
Excess energy over the best structure of this formula in the dataset in kJ/mol of formula units: 7.4
DFT total energy in Ha/atom: -0.1085